A plane-wave DFT calculation with PBE+U was carried out for a relaxed FeAgO2 crystal.

Geometry as POSCAR:
```
FeAgO2
1.0
-4.5084 1.5365 4.0289
-2.5577 -0.8509 5.6261
-1.5162 2.4600 5.5288
Ag Fe O
1 1 2
direct
0.5000 0.5000 0.5000
0.0000 0.0000 0.0000
0.8992 0.8992 0.8992
0.1008 0.1008 0.1008
```

Values from the calculation:
Crystal system = trigonal
E = -4.78 eV/atom